Computed, not measured: PuSnTe2 after structural relaxation at the GGA-PBE level of DFT.

Cell lengths 5.3636, 5.3636, 3.9557 Å; angles 90.00, 90.00, 90.00 degrees
Closest atoms and distances in Å follow each position.
Space group P4/mmm (No. 123)
Asymmetric unit:
Pu  0.0000  0.0000  0.0000 [1 per cell]  8 Te 3.33
Sn  0.5000  0.5000  0.0000 [1 per cell]  8 Te 3.33
Te  0.0000  0.5000  0.5000 [2 per cell]  4 Sn 3.33, 4 Pu 3.33

Summary:
Formation energy without anion corrections (eV per atom): -0.541
Magnetization (μB per formula unit): 5.6

***

Computed, not measured: La2Pm2Dy15 after structural relaxation at the GGA-PBE level of DFT.

Cell lengths 11.3069, 11.3069, 17.4784 Å; angles 90.00, 90.00, 120.00 degrees
Closest atoms and distances in Å follow each position.
Space group R-3m (No. 166, hexagonal axes)
Asymmetric unit:
La  0.0000  0.0000  0.1200 [6 per cell]  6 Dy 3.36-3.65, 1 Pm 3.74
Pm  0.0000  0.0000  0.3340 [6 per cell]  1 La 3.74, 9 Dy 3.95
Dy  0.0000  0.3038  0.0000 [18 per cell]  6 Dy 3.30-3.44
Dy  0.0000  0.5000  0.5000 [9 per cell]  2 La 3.36, 8 Dy 3.37-3.39
Dy  0.0151  0.5075  0.1398 [18 per cell]  6 Dy 3.26-3.37

Summary:
E_form (eV per atom): 0.274
Magnetization (μB per formula unit): 0.0

***

Q: magnetization of number 2 (La2Pm2Dy15)?
A: 0.0 μB per formula unit

***

Q: Among the records above, which one has the highest magnetization?
A: PuSnTe2

***

Q: Which of these has the highest magnetization?
A: PuSnTe2